DFT (PBE with a Hubbard U) results for a relaxed structure of Rb3VSb2O8.

Geometry as POSCAR:
```
Rb3VSb2O8
1.0
6.022 0.000 0.000
-3.011 5.215 0.000
0.000 0.000 8.084
Rb V Sb O
3 1 2 8
Direct
0.000 0.000 0.000
0.333 0.667 0.706
0.667 0.333 0.294
0.000 0.000 0.500
0.333 0.667 0.267
0.667 0.333 0.733
0.160 0.321 0.347
0.160 0.840 0.347
0.321 0.160 0.653
0.333 0.667 0.037
0.667 0.333 0.963
0.679 0.840 0.347
0.840 0.160 0.653
0.840 0.679 0.653
```

M_tot (μB/f.u.): 2.0
Uncorrected energy (eV per atom): -5.68